The following is a PBE calculation of a relaxed HfZn2Te crystal, from the Open Quantum Materials Database.

Geometry as extended XYZ:
```
4
Lattice="0.000 3.431 3.431 3.431 0.000 3.431 3.431 3.431 0.000" Properties=species:S:1:pos:R:3 pbc="T T T"
Zn 0.000 0.000 0.000
Zn 5.146 5.146 5.146
Te 1.715 1.715 1.715
Hf 3.431 3.431 3.431
```

* magnetization: 0.002 μB per cell
* SG: F-43m
* raw total energy: -3.790 eV per atom

The following is a PBE calculation of a relaxed Hf2Zr2Te crystal, from the Open Quantum Materials Database.

Geometry as extended XYZ:
```
5
Lattice="-2.066 2.066 6.991 2.066 -2.066 6.991 2.066 2.066 -6.991" Properties=species:S:1:pos:R:3 pbc="T T T"
Zr 0.000 0.000 8.311
Zr 0.000 0.000 5.671
Hf 2.066 0.000 3.495
Hf 0.000 2.066 3.495
Te 0.000 0.000 0.000
```

* magnetization: 0.006 μB per cell
* SG: I4/mmm
* raw total energy: -7.612 eV per atom

The following is a PBE calculation of a relaxed Hf4Zr2Te crystal, from the Open Quantum Materials Database.

Geometry as extended XYZ:
```
7
Lattice="5.962 0.000 0.000 0.000 5.962 0.000 0.000 0.000 4.684" Properties=species:S:1:pos:R:3 pbc="T T T"
Zr 2.981 0.000 0.000
Zr 0.000 2.981 0.000
Hf 4.476 1.486 2.342
Hf 4.476 4.476 2.342
Hf 1.486 4.476 2.342
Hf 1.486 1.486 2.342
Te 0.000 0.000 0.000
```

* magnetization: 0.051 μB per cell
* SG: P4/mmm
* raw total energy: -8.342 eV per atom

The following is a PBE calculation of a relaxed HfZrTe2 crystal, from the Open Quantum Materials Database.

Geometry as extended XYZ:
```
4
Lattice="-3.921 0.983 3.124 -4.259 2.140 -1.841 -4.294 -2.746 -0.348" Properties=species:S:1:pos:R:3 pbc="T T T"
Hf -6.237 0.188 0.468
Te 0.000 0.000 0.000
Te -3.118 0.094 0.234
Zr -9.355 0.283 0.702
```

* magnetization: 0.020 μB per cell
* SG: F-43m
* raw total energy: -6.082 eV per atom

> What is the formula in the first record?

HfZn2Te

> What is the formula in the third record?

Hf4Zr2Te

> Which value of magnetization does entry 2 give?

0.006 μB per cell